# 1
Below is crystalline Er2Pd9Pt at its relaxed geometry, with properties calculated at the PBE level.

Space group: No. 123
Total magnetic moment: 0.0 μB/f.u.
Energy relative to the elements: -600 meV/atom
Volume: 200 Å³ per cell

a b c (Å): 4.0478 4.0478 12.1963
angles (deg): 90.00 90.00 90.00
Closest atoms and distances in Å follow each position.
Fractional positions:
1 Er 0.0000 0.0000 0.1705  12 Pd 2.86-2.90
2 Er 0.0000 0.0000 0.8295  12 Pd 2.86-2.90
3 Pd 0.0000 0.5000 0.0000  8 Pd 2.86-2.90, 4 Er 2.90
4 Pd 0.0000 0.5000 0.3403  8 Pd 2.81-2.89, 2 Pt 2.81, 2 Er 2.90
5 Pd 0.0000 0.5000 0.6597  2 Pt 2.81, 8 Pd 2.81-2.89, 2 Er 2.90
6 Pd 0.5000 0.0000 0.0000  8 Pd 2.86-2.90, 4 Er 2.90
7 Pd 0.5000 0.0000 0.3403  8 Pd 2.81-2.89, 2 Pt 2.81, 2 Er 2.90
8 Pd 0.5000 0.0000 0.6597  2 Pt 2.81, 8 Pd 2.81-2.89, 2 Er 2.90
9 Pd 0.5000 0.5000 0.1705  4 Er 2.86, 8 Pd 2.89-2.90
10 Pd 0.5000 0.5000 0.5000  8 Pd 2.81, 4 Pt 2.86
11 Pd 0.5000 0.5000 0.8295  4 Er 2.86, 8 Pd 2.89-2.90
12 Pt 0.0000 0.0000 0.5000  12 Pd 2.81-2.86



# 2
Below is crystalline ErPd4Pt2 at its relaxed geometry, with properties calculated at the PBE level.

Space group: No. 139
ΔE to the lowest computed polymorph: 0.334 eV/atom
Total magnetic moment: 0.0 μB/f.u.
Energy relative to the elements: -79 meV/atom
Volume: 260 Å³ per cell

a b c (Å): 4.9814 4.9814 10.4648
angles (deg): 90.00 90.00 90.00
Closest atoms and distances in Å follow each position.
Fractional positions:
1 Er 0.0000 0.0000 0.0000  4 Pd 2.49
2 Er 0.5000 0.5000 0.5000  4 Pd 2.49
3 Pd 0.0000 0.5000 0.0000  2 Er 2.49, 2 Pd 2.62
4 Pd 0.0000 0.5000 0.2500  2 Pd 2.62, 4 Pt 2.79
5 Pd 0.0000 0.5000 0.5000  2 Er 2.49, 2 Pd 2.62
6 Pd 0.0000 0.5000 0.7500  2 Pd 2.62, 4 Pt 2.79
7 Pd 0.5000 0.0000 0.0000  2 Er 2.49, 2 Pd 2.62
8 Pd 0.5000 0.0000 0.2500  2 Pd 2.62, 4 Pt 2.79
9 Pd 0.5000 0.0000 0.5000  2 Er 2.49, 2 Pd 2.62
10 Pd 0.5000 0.0000 0.7500  2 Pd 2.62, 4 Pt 2.79
11 Pt 0.0000 0.0000 0.3695  1 Pt 2.73, 8 Pd 2.79-2.84
12 Pt 0.0000 0.0000 0.6305  1 Pt 2.73, 8 Pd 2.79-2.84
13 Pt 0.5000 0.5000 0.1305  1 Pt 2.73, 8 Pd 2.79-2.84
14 Pt 0.5000 0.5000 0.8695  1 Pt 2.73, 8 Pd 2.79-2.84



# 3
Below is crystalline ErPd2Pt3 at its relaxed geometry, with properties calculated at the PBE level.

Space group: No. 63
Total magnetic moment: 0.0 μB/f.u.
Energy relative to the elements: -479 meV/atom
Volume: 209 Å³ per cell

a b c (Å): 7.5565 7.5565 5.2466
angles (deg): 90.00 90.00 135.86
Closest atoms and distances in Å follow each position.
Fractional positions:
1 Er 0.1558 0.8442 0.7500  8 Pt 2.82-2.98, 4 Pd 2.95
2 Er 0.8442 0.1558 0.2500  8 Pt 2.82-2.98, 4 Pd 2.95
3 Pd 0.2625 0.2625 0.0000  3 Pd 2.62-2.70, 4 Pt 2.73-2.91
4 Pd 0.2625 0.2625 0.5000  3 Pd 2.62-2.70, 4 Pt 2.73-2.91
5 Pd 0.7375 0.7375 0.0000  3 Pd 2.62-2.70, 4 Pt 2.73-2.91
6 Pd 0.7375 0.7375 0.5000  3 Pd 2.62-2.70, 4 Pt 2.73-2.91
7 Pt 0.0765 0.4183 0.7500  2 Pd 2.73, 5 Pt 2.77-2.99, 3 Er 2.82-2.98
8 Pt 0.3414 0.6586 0.2500  6 Pt 2.77-2.99, 2 Er 2.84, 4 Pd 2.91
9 Pt 0.4183 0.0765 0.2500  2 Pd 2.73, 5 Pt 2.77-2.99, 3 Er 2.82-2.98
10 Pt 0.5817 0.9235 0.7500  2 Pd 2.73, 5 Pt 2.77-2.99, 3 Er 2.82-2.98
11 Pt 0.6586 0.3414 0.7500  6 Pt 2.77-2.99, 2 Er 2.84, 4 Pd 2.91
12 Pt 0.9235 0.5817 0.2500  2 Pd 2.73, 5 Pt 2.77-2.99, 3 Er 2.82-2.98



# 4
Below is crystalline Er12Pd6Pt at its relaxed geometry, with properties calculated at the PBE level.

Space group: No. 148
Total magnetic moment: 0.0 μB/f.u.
Energy relative to the elements: -616 meV/atom
Volume: 523 Å³ per cell

a b c (Å): 8.1985 8.1985 8.1985
angles (deg): 99.87 99.87 99.87
Closest atoms and distances in Å follow each position.
Fractional positions:
1 Er 0.0469 0.9198 0.6760  1 Pt 2.73, 2 Pd 2.82-2.83
2 Er 0.0802 0.3240 0.9531  1 Pt 2.73, 2 Pd 2.82-2.83
3 Er 0.1788 0.5719 0.4156  4 Pd 2.79-2.99
4 Er 0.3240 0.9531 0.0802  1 Pt 2.73, 2 Pd 2.82-2.83
5 Er 0.4156 0.1788 0.5719  4 Pd 2.79-2.99
6 Er 0.4281 0.5844 0.8212  4 Pd 2.79-2.99
7 Er 0.5719 0.4156 0.1788  4 Pd 2.79-2.99
8 Er 0.5844 0.8212 0.4281  4 Pd 2.79-2.99
9 Er 0.6760 0.0469 0.9198  1 Pt 2.73, 2 Pd 2.82-2.83
10 Er 0.8212 0.4281 0.5844  4 Pd 2.79-2.99
11 Er 0.9198 0.6760 0.0469  1 Pt 2.73, 2 Pd 2.82-2.83
12 Er 0.9531 0.0802 0.3240  1 Pt 2.73, 2 Pd 2.82-2.83
13 Pd 0.1342 0.3147 0.6209  6 Er 2.79-2.99
14 Pd 0.3147 0.6209 0.1342  6 Er 2.79-2.99
15 Pd 0.3791 0.8658 0.6853  6 Er 2.79-2.99
16 Pd 0.6209 0.1342 0.3147  6 Er 2.79-2.99
17 Pd 0.6853 0.3791 0.8658  6 Er 2.79-2.99
18 Pd 0.8658 0.6853 0.3791  6 Er 2.79-2.99
19 Pt 0.0000 0.0000 0.0000  6 Er 2.73



# 5
Below is crystalline Er7Pd2Pt2 at its relaxed geometry, with properties calculated at the PBE level.

Space group: No. 65
ΔE to the lowest computed polymorph: 0.246 eV/atom
Total magnetic moment: 0.0 μB/f.u.
Energy relative to the elements: -594 meV/atom
Volume: 301 Å³ per cell

a b c (Å): 6.6506 6.6506 6.9167
angles (deg): 90.00 90.00 99.87
Closest atoms and distances in Å follow each position.
Fractional positions:
1 Er 0.0000 0.0000 0.0000  2 Pd 2.84
2 Er 0.0000 0.5000 0.2619  2 Pd 2.82, 2 Pt 3.03
3 Er 0.0000 0.5000 0.7381  2 Pd 2.82, 2 Pt 3.03
4 Er 0.5000 0.0000 0.2619  2 Pd 2.82, 2 Pt 3.03
5 Er 0.5000 0.0000 0.7381  2 Pd 2.82, 2 Pt 3.03
6 Er 0.5000 0.5000 0.2601  2 Pt 2.78, 2 Pd 2.88
7 Er 0.5000 0.5000 0.7399  2 Pt 2.78, 2 Pd 2.88
8 Pd 0.2785 0.7215 0.0000  7 Er 2.82-2.88
9 Pd 0.7215 0.2785 0.0000  7 Er 2.82-2.88
10 Pt 0.2388 0.2388 0.5000  6 Er 2.78-3.03
11 Pt 0.7612 0.7612 0.5000  6 Er 2.78-3.03



# 6
Below is crystalline ErPd5Pt2 at its relaxed geometry, with properties calculated at the PBE level.

Space group: No. 55
ΔE to the lowest computed polymorph: 0.000 eV/atom
Total magnetic moment: 0.0 μB/f.u.
Energy relative to the elements: -472 meV/atom
Volume: 262 Å³ per cell

a b c (Å): 5.6807 11.3922 4.0487
angles (deg): 90.00 90.00 90.00
Closest atoms and distances in Å follow each position.
Fractional positions:
1 Er 0.0000 0.0000 0.0000  8 Pd 2.84-2.85, 4 Pt 2.90
2 Er 0.5000 0.5000 0.0000  8 Pd 2.84-2.85, 4 Pt 2.90
3 Pd 0.0000 0.5000 0.0000  4 Pt 2.84, 2 Er 2.84, 6 Pd 2.85-2.87
4 Pd 0.0131 0.2502 0.0000  7 Pd 2.81-2.87, 4 Pt 2.84, 1 Er 2.85
5 Pd 0.2470 0.8733 0.5000  4 Pt 2.79-2.90, 6 Pd 2.81-2.87, 2 Er 2.85
6 Pd 0.2530 0.3733 0.5000  4 Pt 2.79-2.90, 6 Pd 2.81-2.87, 2 Er 2.85
7 Pd 0.4869 0.7502 0.0000  7 Pd 2.81-2.87, 4 Pt 2.84, 1 Er 2.85
8 Pd 0.5000 0.0000 0.0000  4 Pt 2.84, 2 Er 2.84, 6 Pd 2.85-2.87
9 Pd 0.5131 0.2498 0.0000  7 Pd 2.81-2.87, 4 Pt 2.84, 1 Er 2.85
10 Pd 0.7470 0.6267 0.5000  4 Pt 2.79-2.90, 6 Pd 2.81-2.87, 2 Er 2.85
11 Pd 0.7530 0.1267 0.5000  4 Pt 2.79-2.90, 6 Pd 2.81-2.87, 2 Er 2.85
12 Pd 0.9869 0.7498 0.0000  7 Pd 2.81-2.87, 4 Pt 2.84, 1 Er 2.85
13 Pt 0.2381 0.6278 0.5000  10 Pd 2.79-2.90, 2 Er 2.90
14 Pt 0.2619 0.1278 0.5000  10 Pd 2.79-2.90, 2 Er 2.90
15 Pt 0.7381 0.8722 0.5000  10 Pd 2.79-2.90, 2 Er 2.90
16 Pt 0.7619 0.3722 0.5000  10 Pd 2.79-2.90, 2 Er 2.90



# 7
Below is crystalline ErPd4Pt at its relaxed geometry, with properties calculated at the PBE level.

Space group: No. 12
ΔE to the lowest computed polymorph: 0.000 eV/atom
Total magnetic moment: 0.0 μB/f.u.
Energy relative to the elements: -619 meV/atom
Volume: 201 Å³ per cell

a b c (Å): 4.9475 8.7002 4.9098
angles (deg): 90.00 108.41 90.00
Closest atoms and distances in Å follow each position.
Fractional positions:
1 Er 0.0000 0.0000 0.0000  10 Pd 2.86-2.92, 2 Pt 2.88
2 Er 0.5000 0.5000 0.0000  10 Pd 2.86-2.92, 2 Pt 2.88
3 Pd 0.0000 0.1737 0.5000  7 Pd 2.81-3.02, 3 Pt 2.84-2.90, 2 Er 2.88
4 Pd 0.0000 0.3361 0.0000  7 Pd 2.83-2.89, 2 Pt 2.84, 3 Er 2.86-2.92
5 Pd 0.0000 0.6639 0.0000  7 Pd 2.83-2.89, 2 Pt 2.84, 3 Er 2.86-2.92
6 Pd 0.0000 0.8263 0.5000  7 Pd 2.81-3.02, 3 Pt 2.84-2.90, 2 Er 2.88
7 Pd 0.5000 0.1639 0.0000  7 Pd 2.83-2.89, 2 Pt 2.84, 3 Er 2.86-2.92
8 Pd 0.5000 0.3263 0.5000  7 Pd 2.81-3.02, 3 Pt 2.84-2.90, 2 Er 2.88
9 Pd 0.5000 0.6737 0.5000  7 Pd 2.81-3.02, 3 Pt 2.84-2.90, 2 Er 2.88
10 Pd 0.5000 0.8361 0.0000  7 Pd 2.83-2.89, 2 Pt 2.84, 3 Er 2.86-2.92
11 Pt 0.0000 0.5000 0.5000  10 Pd 2.84-2.90, 2 Er 2.88
12 Pt 0.5000 0.0000 0.5000  10 Pd 2.84-2.90, 2 Er 2.88



# 8
Below is crystalline Er8Pd2Pt at its relaxed geometry, with properties calculated at the PBE level.

Space group: No. 8
ΔE to the lowest computed polymorph: 0.099 eV/atom
Total magnetic moment: 0.0 μB/f.u.
Energy relative to the elements: -478 meV/atom
Volume: 295 Å³ per cell

a b c (Å): 7.7354 7.7354 5.8406
angles (deg): 100.78 100.78 115.56
Closest atoms and distances in Å follow each position.
Fractional positions:
1 Er 0.0000 0.0000 0.0000  1 Pt 2.97, 2 Pd 3.13
2 Er 0.0217 0.2731 0.5675  2 Pd 2.80-2.87, 1 Pt 3.04
3 Er 0.1542 0.5703 0.1808  1 Pt 2.88, 2 Pd 3.15-3.19
4 Er 0.2731 0.0217 0.5675  2 Pd 2.80-2.87, 1 Pt 3.04
5 Er 0.4519 0.7028 0.7757  2 Pd 2.78-2.84, 1 Pt 3.01
6 Er 0.5703 0.1542 0.1808  1 Pt 2.88, 2 Pd 3.15-3.19
7 Er 0.7028 0.4519 0.7757  2 Pd 2.78-2.84, 1 Pt 3.01
8 Er 0.7265 0.7265 0.3631  1 Pt 2.95, 2 Pd 3.17
9 Pd 0.0639 0.6693 0.6871  4 Er 2.78-2.87
10 Pd 0.6693 0.0639 0.6871  4 Er 2.78-2.87
11 Pt 0.3643 0.3643 0.3439  8 Er 2.88-3.04



What is the total magnetic moment in the fifth record?
0.0 μB/f.u.